[1]
Material: CsMgNF2
Method: DFT, GGA-PBE
State: optimized geometry

As for the final energy: -14.4 eV/cell. The raw formation energy is 0.027 eV/atom.

Cell: 5.1013 5.1013 4.4641 Å, 90.00 90.00 90.00°
Last column: nearest neighbours and their distance in Å.
Sites, in units of the cell vectors:
Cs 0.0000 0.0000 0.0000  2 N 2.23
Mg 0.5000 0.5000 0.5000  8 F 3.39, 4 N 3.61
N 0.0000 0.0000 0.5000  2 Cs 2.23
F 0.0000 0.5000 0.0000  2 Cs 2.55
F 0.5000 0.0000 0.0000  2 Cs 2.55

[2]
Material: Cs3NaMg2F9
Method: DFT, GGA-PBE
State: optimized geometry

As for the final energy: -67.2 eV/cell. The raw formation energy is -2.884 eV/atom.

Cell: 6.1414 6.1414 7.6244 Å, 90.00 90.00 120.00°
Last column: nearest neighbours and their distance in Å.
Sites, in units of the cell vectors:
Cs 0.0000 0.0000 0.0000  12 F 3.03-3.07
Cs 0.3333 0.6667 0.6565  12 F 3.09-3.16
Cs 0.6667 0.3333 0.3435  12 F 3.09-3.16
Na 0.0000 0.0000 0.5000  6 F 2.41
Mg 0.3333 0.6667 0.1485  6 F 2.03-2.10
Mg 0.6667 0.3333 0.8515  6 F 2.03-2.10
F 0.0000 0.5000 0.0000  2 Mg 2.10
F 0.1805 0.3609 0.3082  1 Mg 2.03
F 0.1805 0.8195 0.3082  1 Mg 2.03
F 0.3609 0.1805 0.6918  1 Mg 2.03
F 0.5000 0.0000 0.0000  2 Mg 2.10
F 0.5000 0.5000 0.0000  2 Mg 2.10
F 0.6391 0.8195 0.3082  1 Mg 2.03
F 0.8195 0.1805 0.6918  1 Mg 2.03
F 0.8195 0.6391 0.6918  1 Mg 2.03

[3]
Material: CsNaMgF4
Method: DFT, GGA-PBE
State: optimized geometry

As for the final energy: -64.6 eV/cell. The raw formation energy is -3.004 eV/atom.

Cell: 6.1142 6.2449 7.7668 Å, 90.00 107.30 90.00°
Last column: nearest neighbours and their distance in Å.
Sites, in units of the cell vectors:
Cs 0.2289 0.2500 0.4484  6 F 2.92-3.27
Cs 0.7711 0.7500 0.5516  6 F 2.92-3.27
Na 0.3560 0.2500 0.9890  5 F 2.26-2.43
Na 0.6440 0.7500 0.0110  5 F 2.26-2.43
Mg 0.2297 0.7500 0.1619  4 F 1.87-1.90
Mg 0.7703 0.2500 0.8381  4 F 1.87-1.90
F 0.0148 0.2500 0.0519  1 Mg 1.88
F 0.1183 0.7500 0.3619  1 Mg 1.87
F 0.4512 0.5302 0.1800  1 Mg 1.90
F 0.4512 0.9698 0.1800  1 Mg 1.90
F 0.5488 0.0302 0.8200  1 Mg 1.90
F 0.5488 0.4698 0.8200  1 Mg 1.90
F 0.8817 0.2500 0.6381  1 Mg 1.87
F 0.9852 0.7500 0.9481  1 Mg 1.88

[4]
Material: Cs3Na2MgF6
Method: DFT, GGA-PBE
State: optimized geometry

As for the final energy: -49.6 eV/cell. The raw formation energy is -2.632 eV/atom.

Cell: 6.3465 6.3465 7.9039 Å, 90.00 90.00 120.00°
Last column: nearest neighbours and their distance in Å.
Sites, in units of the cell vectors:
Cs 0.0000 0.0000 0.0000  6 F 3.20
Cs 0.3333 0.6667 0.6474  9 F 3.12-3.18, 1 Na 3.31
Cs 0.6667 0.3333 0.3526  9 F 3.12-3.18, 1 Na 3.31
Na 0.3333 0.6667 0.2292  3 F 2.20
Na 0.6667 0.3333 0.7708  3 F 2.20
Mg 0.0000 0.0000 0.5000  6 F 2.06
F 0.1512 0.3024 0.3454  1 Mg 2.06, 1 Na 2.20
F 0.1512 0.8488 0.3454  1 Mg 2.06, 1 Na 2.20
F 0.3024 0.1512 0.6546  1 Mg 2.06, 1 Na 2.20
F 0.6976 0.8488 0.3454  1 Mg 2.06, 1 Na 2.20
F 0.8488 0.1512 0.6546  1 Mg 2.06, 1 Na 2.20
F 0.8488 0.6976 0.6546  1 Mg 2.06, 1 Na 2.20

[5]
Material: Cs2NaMg2F7
Method: DFT, GGA-PBE
State: optimized geometry

As for the final energy: -56.7 eV/cell. The raw formation energy is -3.120 eV/atom.

Cell: 11.8983 11.8983 11.8983 Å, 160.06 160.06 28.35°
Last column: nearest neighbours and their distance in Å.
Sites, in units of the cell vectors:
Cs 0.1826 0.1826 0.0000  8 F 2.92-3.10
Cs 0.8174 0.8174 0.0000  8 F 2.92-3.10
Na 0.0000 0.0000 0.0000  12 F 2.80-2.91
Mg 0.4155 0.4155 0.0000  6 F 1.95-2.06
Mg 0.5845 0.5845 0.0000  6 F 1.95-2.06
F 0.0823 0.5823 0.5000  2 Mg 2.06
F 0.3281 0.3281 0.0000  1 Mg 2.02
F 0.4177 0.9177 0.5000  2 Mg 2.06
F 0.5000 0.5000 0.0000  2 Mg 1.95
F 0.5823 0.0823 0.5000  2 Mg 2.06
F 0.6719 0.6719 0.0000  1 Mg 2.02
F 0.9177 0.4177 0.5000  2 Mg 2.06

[6]
Material: CsNdMgF6
Method: DFT, GGA-PBE
State: optimized geometry

As for the final energy: -101.5 eV/cell. The raw formation energy is -3.588 eV/atom.

Cell: 7.6057 7.6057 7.6057 Å, 120.37 115.71 93.48°
Last column: nearest neighbours and their distance in Å.
Sites, in units of the cell vectors:
Cs 0.3403 0.0903 0.2500  9 F 3.14-3.18
Cs 0.6597 0.9097 0.7500  9 F 3.14-3.18
Nd 0.0000 0.5000 0.5000  6 F 2.32-2.35
Nd 0.5000 0.5000 0.0000  6 F 2.32-2.35
Mg 0.0000 0.0000 0.5000  6 F 1.98-2.02
Mg 0.0000 0.5000 0.0000  6 F 1.98-2.02
F 0.0460 0.3588 0.1736  1 Mg 2.02
F 0.0460 0.8724 0.6872  1 Mg 2.02
F 0.0558 0.3058 0.7500  2 Mg 1.98
F 0.3148 0.1276 0.6736  1 Mg 2.02
F 0.3148 0.6412 0.1872  1 Mg 2.02
F 0.3582 0.6082 0.7500  2 Nd 2.32
F 0.6418 0.3918 0.2500  2 Nd 2.32
F 0.6852 0.3588 0.8128  1 Mg 2.02
F 0.6852 0.8724 0.3264  1 Mg 2.02
F 0.9442 0.6942 0.2500  2 Mg 1.98
F 0.9540 0.1276 0.3128  1 Mg 2.02
F 0.9540 0.6412 0.8264  1 Mg 2.02

- The highest raw formation energy belongs to which entry?
  CsMgNF2

What did the fifth record say?
Material: Cs2NaMg2F7
Method: DFT, GGA-PBE
State: optimized geometry

As for the final energy: -56.7 eV/cell. The raw formation energy is -3.120 eV/atom.

Cell: 11.8983 11.8983 11.8983 Å, 160.06 160.06 28.35°
Last column: nearest neighbours and their distance in Å.
Sites, in units of the cell vectors:
Cs 0.1826 0.1826 0.0000  8 F 2.92-3.10
Cs 0.8174 0.8174 0.0000  8 F 2.92-3.10
Na 0.0000 0.0000 0.0000  12 F 2.80-2.91
Mg 0.4155 0.4155 0.0000  6 F 1.95-2.06
Mg 0.5845 0.5845 0.0000  6 F 1.95-2.06
F 0.0823 0.5823 0.5000  2 Mg 2.06
F 0.3281 0.3281 0.0000  1 Mg 2.02
F 0.4177 0.9177 0.5000  2 Mg 2.06
F 0.5000 0.5000 0.0000  2 Mg 1.95
F 0.5823 0.0823 0.5000  2 Mg 2.06
F 0.6719 0.6719 0.0000  1 Mg 2.02
F 0.9177 0.4177 0.5000  2 Mg 2.06

- Among the records above, which one has the lowest raw formation energy?
  CsNdMgF6